[1]
# PBE NiRh2, relaxed
data_NiRh2
_chemical_formula_sum 'Ni2 Rh4'
_symmetry_space_group_name_H-M 'P 4/m m m'
_symmetry_Int_Tables_number 123
_symmetry_space_group_name_Hall '-P 4 2'
_cell_length_a 2.6991
_cell_length_b 2.6991
_cell_length_c 10.8655
_cell_angle_alpha 90.00
_cell_angle_beta 90.00
_cell_angle_gamma 90.00
loop_
_atom_site_label
_atom_site_fract_x
_atom_site_fract_y
_atom_site_fract_z
Ni1 0.0000 0.0000 0.1611
Rh1 0.0000 0.0000 0.5000
Rh2 0.5000 0.5000 0.0000
Rh3 0.5000 0.5000 0.3228
# **Formation enthalpy at 0 K**: 0.045 eV/atom
# **Distance to the lowest polymorph of the same formula**: 5.3 meV per atom
# **Spin magnetization**: 0.01 μB per formula unit

***

[2]
# PBE BaNa2Hg2Pt, relaxed
data_BaNa2Hg2Pt
_chemical_formula_sum 'Ba2 Na4 Hg4 Pt2'
_symmetry_space_group_name_H-M 'I 4/m m m'
_symmetry_Int_Tables_number 139
_symmetry_space_group_name_Hall '-I 4 2'
_cell_length_a 5.5342
_cell_length_b 5.5342
_cell_length_c 13.0879
_cell_angle_alpha 90.00
_cell_angle_beta 90.00
_cell_angle_gamma 90.00
loop_
_atom_site_label
_atom_site_fract_x
_atom_site_fract_y
_atom_site_fract_z
Ba1 0.0000 0.0000 0.0000
Na1 0.0000 0.5000 0.2500
Hg1 0.0000 0.0000 0.2986
Pt1 0.0000 0.0000 0.5000
# **Formation enthalpy at 0 K**: -0.083 eV/atom
# **Spin magnetization**: 0.00 μB per formula unit

***

[3]
# PBE CeH8S2O12, relaxed
data_CeH8S2O12
_chemical_formula_sum 'Ce4 H32 S8 O48'
_symmetry_space_group_name_H-M 'P n m a'
_symmetry_Int_Tables_number 62
_cell_length_a 14.7700
_cell_length_b 11.1953
_cell_length_c 5.7748
_cell_angle_alpha 90.00
_cell_angle_beta 90.00
_cell_angle_gamma 90.00
loop_
_symmetry_equiv_pos_as_xyz
'x,y,z'
'-x,-y,-z'
'-x+1/2,-y,z+1/2'
'x+1/2,y,-z+1/2'
'x+1/2,-y+1/2,-z+1/2'
'-x+1/2,y+1/2,z+1/2'
'-x,y+1/2,-z'
'x,-y+1/2,z'
loop_
_atom_site_label
_atom_site_fract_x
_atom_site_fract_y
_atom_site_fract_z
Ce1 0.1692 0.2500 0.1249
H1 0.0074 0.1249 0.8696
H2 0.0151 0.6790 0.6513
H3 0.0948 0.0534 0.7967
H4 0.1759 0.6804 0.9622
S1 0.1488 0.5555 0.3851
O1 0.0227 0.2500 0.3099
O2 0.0743 0.1224 0.8909
O3 0.0917 0.5679 0.5937
O4 0.1060 0.6070 0.1768
O5 0.1679 0.0748 0.3506
O6 0.2013 0.7500 0.8787
O7 0.2382 0.6172 0.4208
# **Raw total energy**: -5.845 eV per atom
# **Spin magnetization**: 0.00 μB per formula unit

***

[4]
# PBE RbSc2AgBr8, relaxed
data_RbSc2AgBr8
_chemical_formula_sum 'Rb3 Sc6 Ag3 Br24'
_symmetry_space_group_name_H-M 'R -3'
_symmetry_Int_Tables_number 148
_symmetry_space_group_name_Hall '-R 3'
_cell_length_a 7.0958
_cell_length_b 7.0958
_cell_length_c 30.1549
_cell_angle_alpha 90.00
_cell_angle_beta 90.00
_cell_angle_gamma 120.00
loop_
_atom_site_label
_atom_site_fract_x
_atom_site_fract_y
_atom_site_fract_z
Rb1 0.0000 0.0000 0.0000
Sc1 0.0000 0.0000 0.2456
Ag1 0.0000 0.0000 0.5000
Br1 0.0000 0.0000 0.3282
Br2 0.0050 0.6610 0.7764
# **Spin magnetization**: 0.00 μB per formula unit
# **Formation energy (no corrections)**: -1.42 eV/atom

***

[5]
# PBE Dy4P2S, relaxed
data_Dy4P2S
_chemical_formula_sum 'Dy16 P8 S4'
_symmetry_space_group_name_H-M 'I 41/a m d'
_symmetry_Int_Tables_number 141
_cell_length_a 8.6719
_cell_length_b 8.6719
_cell_length_c 8.9663
_cell_angle_alpha 90.00
_cell_angle_beta 90.00
_cell_angle_gamma 90.00
loop_
_symmetry_equiv_pos_as_xyz
'x,y,z'
'-x,-y,-z'
'-y+1/4,x+3/4,z+1/4'
'y+1/4,-x+3/4,-z+1/4'
'-x+1/2,-y,z+1/2'
'x+1/2,y,-z+1/2'
'y+1/4,-x+1/4,z+3/4'
'-y+1/4,x+1/4,-z+3/4'
'x,-y,-z'
'-x,y,z'
'-y+1/4,-x+1/4,-z+3/4'
'y+1/4,x+1/4,z+3/4'
'-x+1/2,y,-z+1/2'
'x+1/2,-y,z+1/2'
'y+1/4,x+3/4,-z+1/4'
'-y+1/4,-x+3/4,z+1/4'
'x+1/2,y+1/2,z+1/2'
'-x+1/2,-y+1/2,-z+1/2'
'-y+3/4,x+1/4,z+3/4'
'y+3/4,-x+1/4,-z+3/4'
'-x,-y+1/2,z'
'x,y+1/2,-z'
'y+3/4,-x+3/4,z+1/4'
'-y+3/4,x+3/4,-z+1/4'
'x+1/2,-y+1/2,-z+1/2'
'-x+1/2,y+1/2,z+1/2'
'-y+3/4,-x+3/4,-z+1/4'
'y+3/4,x+3/4,z+1/4'
'-x,y+1/2,-z'
'x,-y+1/2,z'
'y+3/4,x+1/4,-z+3/4'
'-y+3/4,-x+1/4,z+3/4'
loop_
_atom_site_label
_atom_site_fract_x
_atom_site_fract_y
_atom_site_fract_z
Dy1 0.0000 0.0524 0.2052
P1 0.0000 0.0000 0.5000
S1 0.0000 0.2500 0.8750
# **Spin magnetization**: 0.00 μB per formula unit
# **Formation energy (no corrections)**: -1.30 eV/atom

***

[6]
# PBE Pm2Ni3Ge4, relaxed
data_Pm2Ni3Ge4
_chemical_formula_sum 'Pm8 Ni12 Ge16'
_symmetry_space_group_name_H-M 'C m c e'
_symmetry_Int_Tables_number 64
_symmetry_space_group_name_Hall '-C 2ac 2'
_cell_length_a 5.6300
_cell_length_b 14.8054
_cell_length_c 7.3614
_cell_angle_alpha 90.00
_cell_angle_beta 90.00
_cell_angle_gamma 90.00
loop_
_atom_site_label
_atom_site_fract_x
_atom_site_fract_y
_atom_site_fract_z
Pm1 0.0000 0.1105 0.0952
Ni1 0.0000 0.0000 0.5000
Ni2 0.2500 0.2234 0.7500
Ge1 0.0000 0.1853 0.4788
Ge2 0.2500 0.0596 0.7500
# **Formation enthalpy at 0 K**: -0.599 eV/atom
# **Spin magnetization**: 0.00 μB per formula unit

***

[7]
# PBE La3HfSn, relaxed
data_La3HfSn
_chemical_formula_sum 'La3 Hf1 Sn1'
_symmetry_space_group_name_H-M 'P m -3 m'
_symmetry_Int_Tables_number 221
_symmetry_space_group_name_Hall '-P 4 2 3'
_cell_length_a 5.9913
_cell_length_b 5.9913
_cell_length_c 5.9913
_cell_angle_alpha 90.00
_cell_angle_beta 90.00
_cell_angle_gamma 90.00
loop_
_atom_site_label
_atom_site_fract_x
_atom_site_fract_y
_atom_site_fract_z
La1 0.0000 0.0000 0.5000
Hf1 0.5000 0.5000 0.5000
Sn1 0.0000 0.0000 0.0000
# **Formation enthalpy at 0 K**: 0.639 eV/atom
# **Distance to the lowest polymorph of the same formula**: 298.4 meV per atom
# **Spin magnetization**: 4.68 μB per formula unit

***

[8]
# PBE Ga2OsPd, relaxed
data_Ga2OsPd
_chemical_formula_sum 'Ga2 Os1 Pd1'
_symmetry_space_group_name_H-M 'P 4/m m m'
_symmetry_Int_Tables_number 123
_symmetry_space_group_name_Hall '-P 4 2'
_cell_length_a 4.3271
_cell_length_b 4.3271
_cell_length_c 3.0842
_cell_angle_alpha 90.00
_cell_angle_beta 90.00
_cell_angle_gamma 90.00
loop_
_atom_site_label
_atom_site_fract_x
_atom_site_fract_y
_atom_site_fract_z
Ga1 0.0000 0.5000 0.0000
Os1 0.0000 0.0000 0.5000
Pd1 0.5000 0.5000 0.5000
# **Formation enthalpy at 0 K**: -0.267 eV/atom
# **Distance to the lowest polymorph of the same formula**: 7.0 meV per atom
# **Spin magnetization**: 0.00 μB per formula unit